# 1
The following is a GGA-PBE calculation of an optimized crystal structure of NaCdOF2, from the Alexandria database.

```
data_NaCdOF2
_symmetry_space_group_name_H-M 'P 4/m m m'
_symmetry_Int_Tables_number 123
_symmetry_space_group_name_Hall '-P 4 2'
_cell_length_a 4.0320
_cell_length_b 4.0320
_cell_length_c 4.2655
_cell_angle_alpha 90.00
_cell_angle_beta 90.00
_cell_angle_gamma 90.00
loop_
_atom_site_label
_atom_site_type_symbol
_atom_site_fract_x
_atom_site_fract_y
_atom_site_fract_z
_atom_site_occupancy
Na1 Na 0.0000 0.0000 0.0000 1
Cd1 Cd 0.5000 0.5000 0.5000 1
O1 O 0.0000 0.0000 0.5000 1
F1 F 0.0000 0.5000 0.0000 1
```

Calculated values
- Fermi-level density of states: 0.04 states/eV/f.u.
- ΔE_f (raw): -1.13 eV per atom
- ΔE to the lowest computed polymorph: 0.390 eV per atom
- Total magnetization: 1.000 μB per formula unit
- Final energy: -3.32 eV per atom



# 2
The following is a GGA-PBE calculation of an optimized crystal structure of NaCdOF2, from the Alexandria database.

```
data_NaCdOF2
_symmetry_space_group_name_H-M 'P 4/m m m'
_symmetry_Int_Tables_number 123
_symmetry_space_group_name_Hall '-P 4 2'
_cell_length_a 4.4549
_cell_length_b 4.4549
_cell_length_c 4.1984
_cell_angle_alpha 90.00
_cell_angle_beta 90.00
_cell_angle_gamma 90.00
loop_
_atom_site_label
_atom_site_type_symbol
_atom_site_fract_x
_atom_site_fract_y
_atom_site_fract_z
_atom_site_occupancy
Na1 Na 0.0000 0.0000 0.0000 1
Cd1 Cd 0.5000 0.5000 0.5000 1
O1 O 0.5000 0.5000 0.0000 1
F1 F 0.0000 0.5000 0.5000 1
```

Calculated values
- Fermi-level density of states: 4.81 states/eV/f.u.
- ΔE_f (raw): -1.52 eV per atom
- ΔE to the lowest computed polymorph: 0.000 eV per atom
- Total magnetization: 0.815 μB per formula unit
- Final energy: -3.71 eV per atom



# 3
The following is a GGA-PBE calculation of an optimized crystal structure of Na2CdPbF6, from the Alexandria database.

```
data_Na2CdPbF6
_symmetry_space_group_name_H-M 'P 1 21/c 1'
_symmetry_Int_Tables_number 14
_symmetry_space_group_name_Hall '-P 2ybc'
_cell_length_a 6.0237
_cell_length_b 6.2044
_cell_length_c 10.4489
_cell_angle_alpha 90.00
_cell_angle_beta 124.22
_cell_angle_gamma 90.00
loop_
_atom_site_label
_atom_site_type_symbol
_atom_site_fract_x
_atom_site_fract_y
_atom_site_fract_z
_atom_site_occupancy
Na1 Na 0.2386 0.0384 0.2291 1
Cd1 Cd 0.5000 0.0000 0.0000 1
Pb1 Pb 0.0000 0.0000 0.5000 1
F1 F 0.1260 0.1538 0.9530 1
F2 F 0.2478 0.6897 0.9084 1
F3 F 0.3972 0.1041 0.7622 1
```

Calculated values
- Fermi-level density of states: 0.00 states/eV/f.u.
- ΔE_f (raw): -2.45 eV per atom
- Total magnetization: 0.000 μB per formula unit
- Final energy: -4.29 eV per atom



# 4
The following is a GGA-PBE calculation of an optimized crystal structure of NaCdPbF6, from the Alexandria database.

```
data_NaCdPbF6
_symmetry_space_group_name_H-M 'P -3 1 c'
_symmetry_Int_Tables_number 163
_symmetry_space_group_name_Hall '-P 3 2c'
_cell_length_a 6.0370
_cell_length_b 6.0370
_cell_length_c 9.4098
_cell_angle_alpha 90.00
_cell_angle_beta 90.00
_cell_angle_gamma 120.00
loop_
_atom_site_label
_atom_site_type_symbol
_atom_site_fract_x
_atom_site_fract_y
_atom_site_fract_z
_atom_site_occupancy
Na1 Na 0.0000 0.0000 0.0000 1
Cd1 Cd 0.3333 0.6667 0.2500 1
Pb1 Pb 0.3333 0.6667 0.7500 1
F1 F 0.0001 0.3447 0.1297 1
```

Calculated values
- Fermi-level density of states: 3.60 states/eV/f.u.
- ΔE_f (raw): -2.23 eV per atom
- Total magnetization: 0.671 μB per formula unit
- Final energy: -4.13 eV per atom



# 5
The following is a GGA-PBE calculation of an optimized crystal structure of Na2CdPdF6, from the Alexandria database.

```
data_Na2CdPdF6
_symmetry_space_group_name_H-M 'P 1 21/c 1'
_symmetry_Int_Tables_number 14
_symmetry_space_group_name_Hall '-P 2ybc'
_cell_length_a 5.4083
_cell_length_b 5.6879
_cell_length_c 11.0658
_cell_angle_alpha 90.00
_cell_angle_beta 115.77
_cell_angle_gamma 90.00
loop_
_atom_site_label
_atom_site_type_symbol
_atom_site_fract_x
_atom_site_fract_y
_atom_site_fract_z
_atom_site_occupancy
Na1 Na 0.2158 0.0616 0.2452 1
Cd1 Cd 0.5000 0.0000 0.0000 1
Pd1 Pd 0.0000 0.0000 0.5000 1
F1 F 0.0932 0.2192 0.9189 1
F2 F 0.1631 0.6976 0.9007 1
F3 F 0.4663 0.0973 0.8079 1
```

Calculated values
- ΔE_f (raw): -2.10 eV per atom
- Total magnetization: 0.076 μB per formula unit
- Final energy: -4.10 eV per atom



# 6
The following is a GGA-PBE calculation of an optimized crystal structure of Na2CdPdF8, from the Alexandria database.

```
data_Na2CdPdF8
_symmetry_space_group_name_H-M 'P 1 2/m 1'
_symmetry_Int_Tables_number 10
_symmetry_space_group_name_Hall '-P 2y'
_cell_length_a 4.8963
_cell_length_b 7.0004
_cell_length_c 5.2471
_cell_angle_alpha 90.00
_cell_angle_beta 92.79
_cell_angle_gamma 90.00
loop_
_atom_site_label
_atom_site_type_symbol
_atom_site_fract_x
_atom_site_fract_y
_atom_site_fract_z
_atom_site_occupancy
Na1 Na 0.0000 0.2491 0.0000 1
Cd1 Cd 0.5000 0.5000 0.5000 1
Pd1 Pd 0.5000 0.0000 0.5000 1
F1 F 0.2016 0.5000 0.2016 1
F2 F 0.2311 0.0000 0.2130 1
F3 F 0.3055 0.2072 0.6646 1
```

Calculated values
- Fermi-level density of states: 0.00 states/eV/f.u.
- ΔE_f (raw): -2.04 eV per atom
- Total magnetization: 0.000 μB per formula unit
- Final energy: -4.01 eV per atom



# 7
The following is a GGA-PBE calculation of an optimized crystal structure of NaCdPdF6, from the Alexandria database.

```
data_NaCdPdF6
_symmetry_space_group_name_H-M 'P 42 n m'
_symmetry_Int_Tables_number 102
_symmetry_space_group_name_Hall 'P 4n -2n'
_cell_length_a 5.0322
_cell_length_b 5.0322
_cell_length_c 10.5043
_cell_angle_alpha 90.00
_cell_angle_beta 90.00
_cell_angle_gamma 90.00
loop_
_atom_site_label
_atom_site_type_symbol
_atom_site_fract_x
_atom_site_fract_y
_atom_site_fract_z
_atom_site_occupancy
Na1 Na 0.0000 0.0000 0.0000 1
Cd1 Cd 0.0000 0.0000 0.6638 1
Pd1 Pd 0.0000 0.0000 0.3322 1
F1 F 0.1869 0.1869 0.4886 1
F2 F 0.1916 0.1916 0.1781 1
F3 F 0.2225 0.2225 0.8305 1
```

Calculated values
- Fermi-level density of states: 3.25 states/eV/f.u.
- ΔE_f (raw): -1.91 eV per atom
- Total magnetization: 1.002 μB per formula unit
- Final energy: -3.98 eV per atom



# 8
The following is a GGA-PBE calculation of an optimized crystal structure of NaCdPtF6, from the Alexandria database.

```
data_NaCdPtF6
_symmetry_space_group_name_H-M 'P 3 1 2'
_symmetry_Int_Tables_number 149
_symmetry_space_group_name_Hall 'P 3 2'
_cell_length_a 5.8137
_cell_length_b 5.8137
_cell_length_c 4.6875
_cell_angle_alpha 90.00
_cell_angle_beta 90.00
_cell_angle_gamma 120.00
loop_
_atom_site_label
_atom_site_type_symbol
_atom_site_fract_x
_atom_site_fract_y
_atom_site_fract_z
_atom_site_occupancy
Na1 Na 0.0000 0.0000 0.0000 1
Cd1 Cd 0.3333 0.6667 0.5000 1
Pt1 Pt 0.6667 0.3333 0.5000 1
F1 F 0.3604 0.0223 0.7319 1
```

Calculated values
- Fermi-level density of states: 6.03 states/eV/f.u.
- ΔE_f (raw): -1.83 eV per atom
- Total magnetization: 1.000 μB per formula unit
- Final energy: -3.99 eV per atom